Entry 1:
# TbMoP2Rh5

A geometry-optimized TbMoP2Rh5 structure (PBE, the Alexandria database).

```
9
Lattice="-3.1253 1.4181 -2.0005 -2.3446 -0.7788 3.1108 1.8725 9.4579 3.7792" Properties=species:S:1:pos:R:3 pbc="T T T"
Tb -1.7987 5.0486 2.4447
Mo 0.0000 0.0000 0.0000
Rh 0.9363 4.7290 1.8896
Rh -1.2583 2.2463 -0.3860
Rh 0.3959 7.5313 4.7203
Rh -0.8679 1.1478 2.1696
Rh 0.0055 8.6297 2.1647
P 1.3423 6.7797 2.7090
P 0.5302 2.6782 1.0701
```

Energy of formation from the pure elements   -0.262 eV per atom

---

Entry 2:
# LaNd10Sc4

A geometry-optimized LaNd10Sc4 structure (PBE, the Alexandria database).

```
15
Lattice="6.3783 0.0000 2.8801 3.1891 8.6698 1.4400 -0.3788 0.0000 9.3417" Properties=species:S:1:pos:R:3 pbc="T T T"
Nd 5.7532 7.3253 8.3259
Nd 7.4908 5.2205 4.8576
Nd 6.4821 1.3445 6.7116
Nd 5.0295 3.4493 10.3085
Nd 2.7065 7.3253 6.9502
Nd 2.9997 4.3349 6.1109
Nd 4.1592 5.2205 3.3533
Nd 3.4354 1.3445 5.3359
Nd 1.6979 3.4493 8.8041
Nd 6.1889 4.3349 7.5509
Sc 6.3937 6.5195 11.3487
Sc 3.6953 0.9579 8.8220
Sc 2.7950 2.1503 2.3130
Sc 5.4934 7.7120 4.8398
La 0.0000 0.0000 0.0000
```

Energy of formation from the pure elements   0.510 eV per atom

---

Entry 3:
# BaNbC2

A geometry-optimized BaNbC2 structure (PBE, the Alexandria database).

```
4
Lattice="0.0000 3.1452 3.1452 3.1452 0.0000 3.1452 3.1452 3.1452 0.0000" Properties=species:S:1:pos:R:3 pbc="T T T"
C 1.5726 1.5726 1.5726
C 4.7178 4.7178 4.7178
Ba 3.1452 3.1452 3.1452
Nb 0.0000 0.0000 0.0000
```

Offset from the most stable computed form   6.03 eV/f.u.
Energy of formation from the pure elements   1.874 eV per atom

---

Entry 4:
# Ba4NdHg5

A geometry-optimized Ba4NdHg5 structure (PBE, the Alexandria database).

```
10
Lattice="4.1005 0.0000 0.0000 0.0000 4.1005 0.0000 0.0000 0.0000 20.8723" Properties=species:S:1:pos:R:3 pbc="T T T"
Ba 0.0000 0.0000 8.2830
Ba 0.0000 0.0000 3.9541
Ba 0.0000 0.0000 12.5892
Ba 0.0000 0.0000 16.9181
Hg 2.0502 2.0502 6.1291
Hg 2.0502 2.0502 14.7432
Hg 2.0502 2.0502 19.1793
Hg 2.0502 2.0502 10.4361
Hg 2.0502 2.0502 1.6930
Nd 0.0000 0.0000 0.0000
```

Energy of formation from the pure elements   -0.501 eV per atom

---

Entry 5:
# SiTeW2

A geometry-optimized SiTeW2 structure (PBE, the Alexandria database).

```
4
Lattice="-2.0379 2.1197 0.0967 -0.9431 -2.3615 1.4798 3.5635 3.0969 7.2133" Properties=species:S:1:pos:R:3 pbc="T T T"
Te 1.1821 2.2018 6.1982
Si -0.5996 0.6533 2.5916
W 0.1341 0.1166 0.2715
W 1.6476 1.4319 3.3351
```

Offset from the most stable computed form   1.83 eV/f.u.
Formation energy from raw total energies   0.75 eV/atom

---

Entry 6:
# NaLi2SbCl6

A geometry-optimized NaLi2SbCl6 structure (PBE, the Alexandria database).

```
10
Lattice="-6.1127 0.6560 -2.8193 -5.5514 -0.3017 3.8514 -3.6282 6.1824 1.1916" Properties=species:S:1:pos:R:3 pbc="T T T"
Cl -9.8098 1.9234 0.1438
Cl -5.9948 1.8547 -0.5313
Cl -7.3326 1.4071 3.0783
Cl -5.6535 4.6913 1.9743
Cl -9.1091 4.7414 2.6701
Cl -7.9709 5.1565 -0.6413
Li -3.6310 6.1540 1.1882
Li -7.6713 2.6576 1.0267
Sb -3.8819 0.2745 0.3657
Na -11.5148 3.7974 1.5132
```

Formation energy from raw total energies   -1.42 eV/atom

---

Entry 7:
# AcPrPb2

A geometry-optimized AcPrPb2 structure (PBE, the Alexandria database).

```
4
Lattice="-3.5724 -0.5501 1.0732 1.2060 -1.6527 3.1671 0.0207 8.2727 4.3092" Properties=species:S:1:pos:R:3 pbc="T T T"
Pr -1.1729 3.0349 4.2747
Pb 0.0153 6.1245 3.1902
Pb 0.0054 2.1482 1.1190
Ac -1.1832 -1.1014 2.1202
```

Energy of formation from the pure elements   -0.495 eV per atom

---

Entry 8:
# PmHoIn2

A geometry-optimized PmHoIn2 structure (PBE, the Alexandria database).

```
4
Lattice="-1.8050 -1.1378 -3.1418 3.3213 -0.2191 -1.8288 0.7324 -7.2248 2.1956" Properties=species:S:1:pos:R:3 pbc="T T T"
In 0.5574 -5.4986 1.6710
In 0.1750 -1.7262 0.5246
Ho 0.7582 -0.6784 -2.4853
Pm 1.1243 -4.2908 -1.3875
```

Energy of formation from the pure elements   -0.479 eV per atom

---

Entry 9:
# TbPmAlGa

A geometry-optimized TbPmAlGa structure (PBE, the Alexandria database).

```
4
Lattice="5.1557 0.0000 0.0000 2.5779 4.4650 0.0000 2.5779 1.4883 4.2096" Properties=species:S:1:pos:R:3 pbc="T T T"
Tb 5.1557 2.9767 2.1048
Ga 2.5779 1.4883 1.0524
Pm 0.0000 0.0000 0.0000
Al 7.7336 4.4650 3.1572
```

Offset from the most stable computed form   0.09 eV/f.u.
Energy of formation from the pure elements   -0.470 eV per atom

---

Entry 10:
# SbPdS2

A geometry-optimized SbPdS2 structure (PBE, the Alexandria database).

```
4
Lattice="2.0655 0.0000 8.0102 -1.0328 1.7888 8.0102 -1.0328 -1.7888 8.0102" Properties=species:S:1:pos:R:3 pbc="T T T"
S 0.0000 0.0000 2.7150
S 0.0000 0.0000 21.3157
Sb 0.0000 0.0000 0.0000
Pd 0.0000 0.0000 12.0153
```

Formation energy from raw total energies   -0.07 eV/atom

---

Entry 11:
# Er8Tl2Co3

A geometry-optimized Er8Tl2Co3 structure (PBE, the Alexandria database).

```
13
Lattice="-0.9286 -5.1531 3.6442 6.5211 0.8912 2.9219 -6.1323 5.1773 3.2331" Properties=species:S:1:pos:R:3 pbc="T T T"
Co 5.2041 0.7112 2.3319
Co -0.4643 -2.5765 1.8221
Co 1.3169 0.1800 0.5901
Er 4.0156 -0.1642 4.4346
Er 0.7287 -0.6134 2.9618
Er 0.9969 3.9876 5.4326
Er -1.5368 -3.0721 4.3667
Er -2.4902 4.0371 4.3263
Er 1.9503 -3.1217 5.4731
Er -4.5555 1.0796 5.3647
Er -1.2686 1.5289 6.8376
Tl 1.2696 -0.1257 6.0786
Tl -1.8095 1.0411 3.7208
```

Energy of formation from the pure elements   -0.104 eV per atom

---

Entry 12:
# LaNd3Tl3

A geometry-optimized LaNd3Tl3 structure (PBE, the Alexandria database).

```
14
Lattice="-2.3112 3.8891 -2.8525 -8.8332 -3.7950 1.9831 3.9126 6.7197 5.9915" Properties=species:S:1:pos:R:3 pbc="T T T"
Nd -2.9294 3.5980 -0.2415
Nd -8.4588 0.0439 -0.6070
Nd -4.3025 3.2158 5.3636
Nd -7.5659 4.2382 4.3880
Nd 0.3340 2.5756 0.7340
Nd 1.2270 6.7699 5.7290
La -2.0694 6.1316 2.5160
La -5.1624 0.6822 2.6061
Tl -8.4673 1.9433 1.9895
Tl 1.2354 4.8705 3.1326
Tl -5.0492 4.2642 2.3843
Tl -2.1826 2.5496 2.7377
Tl -5.4376 1.6727 -0.8343
Tl -1.7943 5.1411 5.9563
```

Offset from the most stable computed form   0.16 eV/f.u.
Energy of formation from the pure elements   -0.275 eV per atom

---

Number 1: total magnetic moment 0.000 μB per atom. Number 2: total magnetic moment 0.066 μB per atom. Number 3: total magnetic moment 0.000 μB per atom. Number 4: total magnetic moment 0.000 μB per atom. Number 5: total magnetic moment 0.000 μB per atom. Number 6: total magnetic moment 0.000 μB per atom. Number 7: total magnetic moment 0.000 μB per atom. Number 8: total magnetic moment 0.000 μB per atom. Number 9: total magnetic moment 0.000 μB per atom. Number 10: total magnetic moment 0.000 μB per atom. Number 11: total magnetic moment 0.000 μB per atom. Number 12: total magnetic moment 0.000 μB per atom.